# CdP2Pb, optimized geometry, DFT GGA-PBE
data_CdP2Pb
_chemical_formula_sum 'Cd2 P4 Pb2'
_cell_length_a 4.037
_cell_length_b 5.703
_cell_length_c 8.008
_cell_angle_alpha 90.00
_cell_angle_beta 90.00
_cell_angle_gamma 90.00
_space_group_name_H-M_alt 'A m m 2'
_space_group_IT_number 38
loop_
_space_group_symop_operation_xyz
'x,y,z'
'-x,-y,z'
'-x,y,z'
'x,-y,z'
'x,y+1/2,z+1/2'
'-x,-y+1/2,z+1/2'
'-x,y+1/2,z+1/2'
'x,-y+1/2,z+1/2'
loop_
_atom_site_label
_atom_site_type_symbol
_atom_site_fract_x
_atom_site_fract_y
_atom_site_fract_z
_atom_site_occupancy
Cd1 Cd 0.000 0.000 0.000 1
P1 P 0.000 0.000 0.410 1
P2 P 0.500 0.000 0.265 1
Pb1 Pb 0.500 0.000 0.693 1
# Density of states at the Fermi level, states/eV/cell: 3.74
# ΔH_f (0 K), eV/atom: 0.235
# Magnetic moment, μB per atom: 0.00
# Volume, Å³/atom: 23.0

# PmNd2Dy4, optimized geometry, DFT GGA-PBE
data_PmNd2Dy4
_chemical_formula_sum 'Pm2 Nd4 Dy8'
_cell_length_a 5.570
_cell_length_b 5.570
_cell_length_c 17.121
_cell_angle_alpha 90.00
_cell_angle_beta 90.00
_cell_angle_gamma 90.00
_space_group_name_H-M_alt 'I 4/m m m'
_space_group_IT_number 139
_space_group_name_Hall '-I 4 2'
loop_
_atom_site_label
_atom_site_type_symbol
_atom_site_fract_x
_atom_site_fract_y
_atom_site_fract_z
_atom_site_occupancy
Pm1 Pm 0.000 0.000 0.000 1
Nd1 Nd 0.000 0.000 0.378 1
Dy1 Dy 0.000 0.000 0.176 1
Dy2 Dy 0.000 0.500 0.000 1
# Density of states at the Fermi level, states/eV/cell: 20.52
# ΔH_f (0 K), eV/atom: 0.640
# Magnetic moment, μB per atom: 0.00
# Volume, Å³/atom: 37.9

# Pm14NdEr, optimized geometry, DFT GGA-PBE
data_Pm14NdEr
_chemical_formula_sum 'Pm28 Nd2 Er2'
_cell_length_a 10.291
_cell_length_b 10.310
_cell_length_c 10.303
_cell_angle_alpha 90.00
_cell_angle_beta 90.00
_cell_angle_gamma 90.00
_space_group_name_H-M_alt 'A m m 2'
_space_group_IT_number 38
loop_
_space_group_symop_operation_xyz
'x,y,z'
'-x,-y,z'
'-x,y,z'
'x,-y,z'
'x,y+1/2,z+1/2'
'-x,-y+1/2,z+1/2'
'-x,y+1/2,z+1/2'
'x,-y+1/2,z+1/2'
loop_
_atom_site_label
_atom_site_type_symbol
_atom_site_fract_x
_atom_site_fract_y
_atom_site_fract_z
_atom_site_occupancy
Pm1 Pm 0.000 0.000 0.000 1
Pm2 Pm 0.000 0.000 0.499 1
Pm3 Pm 0.000 0.250 0.250 1
Pm4 Pm 0.251 0.000 0.249 1
Pm5 Pm 0.251 0.000 0.751 1
Pm6 Pm 0.251 0.249 0.000 1
Pm7 Pm 0.500 0.250 0.250 1
Nd1 Nd 0.500 0.000 0.500 1
Er1 Er 0.500 0.000 0.999 1
# Density of states at the Fermi level, states/eV/cell: 48.66
# ΔH_f (0 K), eV/atom: 0.014
# Magnetic moment, μB per atom: 0.00
# Volume, Å³/atom: 34.2

# La2Ho8Sc, optimized geometry, DFT GGA-PBE
data_La2Ho8Sc
_chemical_formula_sum 'La4 Ho16 Sc2'
_cell_length_a 18.590
_cell_length_b 6.922
_cell_length_c 5.656
_cell_angle_alpha 90.00
_cell_angle_beta 92.02
_cell_angle_gamma 90.00
_space_group_name_H-M_alt 'C 1 2/m 1'
_space_group_IT_number 12
loop_
_space_group_symop_operation_xyz
'x,y,z'
'-x,-y,-z'
'-x,y,-z'
'x,-y,z'
'x+1/2,y+1/2,z'
'-x+1/2,-y+1/2,-z'
'-x+1/2,y+1/2,-z'
'x+1/2,-y+1/2,z'
loop_
_atom_site_label
_atom_site_type_symbol
_atom_site_fract_x
_atom_site_fract_y
_atom_site_fract_z
_atom_site_occupancy
La1 La 0.218 0.000 0.257 1
Ho1 Ho 0.046 0.000 0.234 1
Ho2 Ho 0.124 0.236 0.739 1
Ho3 Ho 0.177 0.500 0.233 1
Sc1 Sc 0.000 0.500 0.000 1
# Density of states at the Fermi level, states/eV/cell: 34.01
# ΔH_f (0 K), eV/atom: 0.203
# Magnetic moment, μB per atom: 0.00
# Volume, Å³/atom: 33.1

# HfAl2AuS, optimized geometry, DFT GGA-PBE
data_HfAl2AuS
_chemical_formula_sum 'Hf1 Al2 Au1 S1'
_cell_length_a 4.761
_cell_length_b 4.761
_cell_length_c 5.027
_cell_angle_alpha 90.00
_cell_angle_beta 90.00
_cell_angle_gamma 90.00
_space_group_name_H-M_alt 'P 4/m m m'
_space_group_IT_number 123
_space_group_name_Hall '-P 4 2'
loop_
_atom_site_label
_atom_site_type_symbol
_atom_site_fract_x
_atom_site_fract_y
_atom_site_fract_z
_atom_site_occupancy
Hf1 Hf 0.000 0.000 0.000 1
Al1 Al 0.000 0.500 0.500 1
Au1 Au 0.500 0.500 0.500 1
S1 S 0.500 0.500 0.000 1
# Density of states at the Fermi level, states/eV/cell: 4.07
# Formation energy (no corrections), meV per atom: 641
# Magnetic moment, μB per atom: 0.00
# Volume, Å³/atom: 22.8

# Pr3Y2Er6Pu, optimized geometry, DFT GGA-PBE
data_Pr3Y2Er6Pu
_chemical_formula_sum 'Pr6 Y4 Er12 Pu2'
_cell_length_a 6.178
_cell_length_b 10.700
_cell_length_c 11.713
_cell_angle_alpha 90.00
_cell_angle_beta 100.13
_cell_angle_gamma 90.00
_space_group_name_H-M_alt 'C 1 2/m 1'
_space_group_IT_number 12
loop_
_space_group_symop_operation_xyz
'x,y,z'
'-x,-y,-z'
'-x,y,-z'
'x,-y,z'
'x+1/2,y+1/2,z'
'-x+1/2,-y+1/2,-z'
'-x+1/2,y+1/2,-z'
'x+1/2,-y+1/2,z'
loop_
_atom_site_label
_atom_site_type_symbol
_atom_site_fract_x
_atom_site_fract_y
_atom_site_fract_z
_atom_site_occupancy
Pr1 Pr 0.000 0.000 0.000 1
Pr2 Pr 0.000 0.333 0.000 1
Y1 Y 0.000 0.167 0.500 1
Er1 Er 0.245 0.336 0.745 1
Er2 Er 0.247 0.500 0.255 1
Pu1 Pu 0.000 0.500 0.500 1
# Density of states at the Fermi level, states/eV/cell: 44.41
# ΔH_f (0 K), eV/atom: 0.048
# Magnetic moment, μB per atom: 0.55
# Volume, Å³/atom: 31.8

# KAc2AgO5, optimized geometry, DFT GGA-PBE
data_KAc2AgO5
_chemical_formula_sum 'K4 Ac8 Ag4 O20'
_cell_length_a 7.222
_cell_length_b 7.222
_cell_length_c 12.561
_cell_angle_alpha 90.00
_cell_angle_beta 90.00
_cell_angle_gamma 90.00
_space_group_name_H-M_alt 'I 4/m c m'
_space_group_IT_number 140
_space_group_name_Hall '-I 4 2c'
loop_
_atom_site_label
_atom_site_type_symbol
_atom_site_fract_x
_atom_site_fract_y
_atom_site_fract_z
_atom_site_occupancy
K1 K 0.000 0.000 0.250 1
Ac1 Ac 0.177 0.323 0.000 1
Ag1 Ag 0.000 0.500 0.250 1
O1 O 0.000 0.000 0.000 1
O2 O 0.134 0.366 0.381 1
# Density of states at the Fermi level, states/eV/cell: 13.98
# Formation energy (no corrections), meV per atom: -2001
# Magnetic moment, μB per atom: 0.23
# Volume, Å³/atom: 18.2

# DyPuHg2, optimized geometry, DFT GGA-PBE
data_DyPuHg2
_chemical_formula_sum 'Dy4 Pu4 Hg8'
_cell_length_a 7.492
_cell_length_b 7.492
_cell_length_c 7.492
_cell_angle_alpha 90.00
_cell_angle_beta 90.00
_cell_angle_gamma 90.00
_space_group_name_H-M_alt 'F m -3 m'
_space_group_IT_number 225
_space_group_name_Hall '-F 4 2 3'
loop_
_atom_site_label
_atom_site_type_symbol
_atom_site_fract_x
_atom_site_fract_y
_atom_site_fract_z
_atom_site_occupancy
Dy1 Dy 0.000 0.000 0.000 1
Pu1 Pu 0.000 0.000 0.500 1
Hg1 Hg 0.250 0.250 0.250 1
# Density of states at the Fermi level, states/eV/cell: 44.03
# ΔH_f (0 K), eV/atom: -0.267
# Magnetic moment, μB per atom: 1.52
# Volume, Å³/atom: 26.3

# Np2FeSi4Pt3, optimized geometry, DFT GGA-PBE
data_Np2FeSi4Pt3
_chemical_formula_sum 'Np2 Fe1 Si4 Pt3'
_cell_length_a 4.175
_cell_length_b 4.175
_cell_length_c 9.773
_cell_angle_alpha 90.00
_cell_angle_beta 90.00
_cell_angle_gamma 90.00
_space_group_name_H-M_alt 'P -4 m 2'
_space_group_IT_number 115
loop_
_space_group_symop_operation_xyz
'x,y,z'
'y,-x,-z'
'-x,-y,z'
'-y,x,-z'
'-x,y,z'
'-y,-x,-z'
'x,-y,z'
'y,x,-z'
loop_
_atom_site_label
_atom_site_type_symbol
_atom_site_fract_x
_atom_site_fract_y
_atom_site_fract_z
_atom_site_occupancy
Np1 Np 0.000 0.500 0.245 1
Fe1 Fe 0.500 0.500 0.000 1
Si1 Si 0.000 0.000 0.500 1
Si2 Si 0.000 0.500 0.872 1
Si3 Si 0.500 0.500 0.500 1
Pt1 Pt 0.000 0.000 0.000 1
Pt2 Pt 0.000 0.500 0.625 1
# Density of states at the Fermi level, states/eV/cell: 21.24
# Formation energy (no corrections), meV per atom: -663
# Magnetic moment, μB per atom: 0.59
# Volume, Å³/atom: 17.0

# PrHo3Pb2, optimized geometry, DFT GGA-PBE
data_PrHo3Pb2
_chemical_formula_sum 'Pr4 Ho12 Pb8'
_cell_length_a 18.344
_cell_length_b 4.634
_cell_length_c 9.590
_cell_angle_alpha 90.00
_cell_angle_beta 113.23
_cell_angle_gamma 90.00
_space_group_name_H-M_alt 'C 1 2/m 1'
_space_group_IT_number 12
loop_
_space_group_symop_operation_xyz
'x,y,z'
'-x,-y,-z'
'-x,y,-z'
'x,-y,z'
'x+1/2,y+1/2,z'
'-x+1/2,-y+1/2,-z'
'-x+1/2,y+1/2,-z'
'x+1/2,-y+1/2,z'
loop_
_atom_site_label
_atom_site_type_symbol
_atom_site_fract_x
_atom_site_fract_y
_atom_site_fract_z
_atom_site_occupancy
Pr1 Pr 0.115 0.000 0.133 1
Ho1 Ho 0.058 0.000 0.687 1
Ho2 Ho 0.142 0.500 0.485 1
Ho3 Ho 0.193 0.500 0.889 1
Pb1 Pb 0.011 0.500 0.847 1
Pb2 Pb 0.244 0.000 0.709 1
# Density of states at the Fermi level, states/eV/cell: 28.73
# ΔH_f (0 K), eV/atom: -0.331
# Magnetic moment, μB per atom: 0.11
# Volume, Å³/atom: 31.2

# Ho6CuS5, optimized geometry, DFT GGA-PBE
data_Ho6CuS5
_chemical_formula_sum 'Ho12 Cu2 S10'
_cell_length_a 6.771
_cell_length_b 11.735
_cell_length_c 6.761
_cell_angle_alpha 90.00
_cell_angle_beta 109.61
_cell_angle_gamma 90.00
_space_group_name_H-M_alt 'C 1 2/m 1'
_space_group_IT_number 12
loop_
_space_group_symop_operation_xyz
'x,y,z'
'-x,-y,-z'
'-x,y,-z'
'x,-y,z'
'x+1/2,y+1/2,z'
'-x+1/2,-y+1/2,-z'
'-x+1/2,y+1/2,-z'
'x+1/2,-y+1/2,z'
loop_
_atom_site_label
_atom_site_type_symbol
_atom_site_fract_x
_atom_site_fract_y
_atom_site_fract_z
_atom_site_occupancy
Ho1 Ho 0.248 0.166 0.248 1
Ho2 Ho 0.249 0.000 0.750 1
Cu1 Cu 0.000 0.000 0.000 1
S1 S 0.000 0.170 0.500 1
S2 S 0.000 0.335 0.000 1
S3 S 0.000 0.500 0.500 1
# Density of states at the Fermi level, states/eV/cell: 8.92
# Formation energy (no corrections), meV per atom: -1695
# Magnetic moment, μB per atom: 0.00
# Volume, Å³/atom: 21.1

# Be8Nb3W, optimized geometry, DFT GGA-PBE
data_Be8Nb3W
_chemical_formula_sum 'Be8 Nb3 W1'
_cell_length_a 4.5943
_cell_length_b 4.5943
_cell_length_c 7.4530
_cell_angle_alpha 90.00
_cell_angle_beta 90.00
_cell_angle_gamma 120.00
_space_group_name_H-M_alt 'P 3 m 1'
_space_group_IT_number 156
loop_
_space_group_symop_operation_xyz
'x,y,z'
'-y,x-y,z'
'-x+y,-x,z'
'-y,-x,z'
'-x+y,y,z'
'x,x-y,z'
loop_
_atom_site_label
_atom_site_type_symbol
_atom_site_fract_x
_atom_site_fract_y
_atom_site_fract_z
_atom_site_occupancy
Be1 Be 0.0000 0.0000 0.0000 1
Be2 Be 0.0000 0.0000 0.4990 1
Be3 Be 0.1706 0.3413 0.7434 1
Be4 Be 0.3442 0.1721 0.2522 1
Nb1 Nb 0.3333 0.6667 0.0657 1
Nb2 Nb 0.3333 0.6667 0.4342 1
Nb3 Nb 0.6667 0.3333 0.9305 1
W1 W 0.6667 0.3333 0.5640 1
# Density of states at the Fermi level, states/eV/cell: 7.49
# ΔH_f (0 K), eV/atom: -0.230
# Magnetic moment, μB per atom: 0.00
# Volume, Å³/atom: 11.4